1.
The following is a DFT calculation (PBE) of a geometry-optimized AlCu3Pt12 structure.

Unit cell a=3.906 b=3.906 c=15.645 alpha=90.00 beta=90.00 gamma=90.00
Sites, in units of the cell vectors:
1 Al 0.000 0.000 0.000
2 Cu 0.000 0.000 0.251
3 Cu 0.000 0.000 0.500
4 Cu 0.000 0.000 0.749
5 Pt 0.500 0.500 0.000
6 Pt 0.500 0.500 0.250
7 Pt 0.500 0.500 0.500
8 Pt 0.500 0.500 0.750
9 Pt 0.500 0.000 0.125
10 Pt 0.500 0.000 0.375
11 Pt 0.500 0.000 0.625
12 Pt 0.500 0.000 0.875
13 Pt 0.000 0.500 0.125
14 Pt 0.000 0.500 0.375
15 Pt 0.000 0.500 0.625
16 Pt 0.000 0.500 0.875

## Properties
Raw total energy in eV/atom: -5.79
SG: No. 123
Formation energy from the elements in eV/f.u.: -4.16

---

2.
The following is a DFT calculation (PBE) of a geometry-optimized NbSiHg3 structure.

Unit cell a=5.013 b=5.013 c=5.013 alpha=90.00 beta=90.00 gamma=90.00
Last column: magnetic moment on the atom in μB.
Sites, in units of the cell vectors:
1 Nb 0.500 0.500 0.500  2.57
2 Si 0.000 0.000 0.000  0.01
3 Hg 0.000 0.500 0.000  0.00
4 Hg 0.000 0.000 0.500  -0.02
5 Hg 0.500 0.000 0.000  0.00

## Properties
E above lowest polymorph in meV per atom: 0
Raw total energy in eV/atom: -2.24
SG: No. 221

---

3.
The following is a DFT calculation (PBE) of a geometry-optimized Pd8Pt5Rh structure.

Unit cell a=6.698 b=6.698 c=6.698 alpha=109.42 beta=109.57 gamma=109.42
Sites, in units of the cell vectors:
1 Pd 0.130 0.745 0.040
2 Pd 0.960 0.090 0.705
3 Pd 0.787 0.254 0.375
4 Pd 0.625 0.412 0.880
5 Pd 0.468 0.588 0.213
6 Pd 0.616 0.910 0.870
7 Pd 0.295 0.255 0.384
8 Pd 0.120 0.746 0.532
9 Pt 0.004 0.369 0.125
10 Pt 0.875 0.879 0.244
11 Pt 0.756 0.631 0.636
12 Pt 0.500 0.000 0.500
13 Pt 0.364 0.121 0.996
14 Rh 0.250 0.500 0.750

## Properties
Raw total energy in eV/atom: -5.38
SG: No. 82
Formation energy from the elements in eV/f.u.: 3.74

---

4.
The following is a DFT calculation (PBE) of a geometry-optimized CeNpSeS2 structure.

Unit cell a=4.336 b=4.336 c=7.181 alpha=107.57 beta=107.57 gamma=90.00
Last column: magnetic moment on the atom in μB.
Sites, in units of the cell vectors:
1 Ce 0.876 0.876 0.753  0.94
2 Np 0.126 0.126 0.252  3.94
3 Se 0.502 0.502 0.004  -0.07
4 S 0.748 0.248 0.496  -0.09
5 S 0.248 0.748 0.496  -0.09

## Properties
Raw total energy in eV/atom: -7.42
SG: No. 107

---

5.
The following is a DFT calculation (PBE) of a geometry-optimized Mg2SeF2 structure.

Unit cell a=7.304 b=7.304 c=3.597 alpha=90.00 beta=90.00 gamma=90.00
Sites, in units of the cell vectors:
1 Mg 0.198 0.698 0.000
2 Mg 0.698 0.802 0.000
3 Mg 0.802 0.302 0.000
4 Mg 0.302 0.198 0.000
5 Se 0.000 0.000 0.000
6 Se 0.500 0.500 0.000
7 F 0.132 0.632 0.500
8 F 0.632 0.868 0.500
9 F 0.868 0.368 0.500
10 F 0.368 0.132 0.500

## Properties
E above lowest polymorph in meV per atom: 223
Raw total energy in eV/atom: -4.26
SG: No. 127

---

6.
The following is a DFT calculation (PBE) of a geometry-optimized Zr4CoPt structure.

Unit cell a=5.538 b=5.538 c=5.538 alpha=60.00 beta=60.00 gamma=60.00
Last column: magnetic moment on the atom in μB.
Sites, in units of the cell vectors:
1 Zr 0.876 0.375 0.375  -0.05
2 Zr 0.375 0.375 0.876  -0.05
3 Zr 0.375 0.876 0.375  -0.05
4 Zr 0.375 0.375 0.375  -0.05
5 Co 0.750 0.750 0.750  1.61
6 Pt 0.000 0.000 0.000  -0.01

## Properties
E above lowest polymorph in meV per atom: 931
Raw total energy in eV/atom: -7.47
SG: No. 216
Formation energy from the elements in eV/f.u.: 2.50

---

7.
The following is a DFT calculation (PBE) of a geometry-optimized Rb8Au6F structure.

Unit cell a=8.776 b=8.776 c=8.776 alpha=73.73 beta=73.73 gamma=73.73
Sites, in units of the cell vectors:
1 Rb 0.149 0.684 0.901
2 Rb 0.099 0.851 0.316
3 Rb 0.316 0.099 0.851
4 Rb 0.641 0.641 0.641
5 Rb 0.359 0.359 0.359
6 Rb 0.684 0.901 0.149
7 Rb 0.901 0.149 0.684
8 Rb 0.851 0.316 0.099
9 Au 0.042 0.485 0.662
10 Au 0.338 0.958 0.515
11 Au 0.515 0.338 0.958
12 Au 0.485 0.662 0.042
13 Au 0.662 0.042 0.485
14 Au 0.958 0.515 0.338
15 F 0.000 0.000 0.000

## Properties
Raw total energy in eV/atom: -2.52
SG: No. 148

---

8.
The following is a DFT calculation (PBE) of a geometry-optimized Tl2ZnPt structure.

Unit cell a=5.256 b=5.256 c=5.256 alpha=129.05 beta=129.05 gamma=74.92
Sites, in units of the cell vectors:
1 Pt 0.750 0.250 0.500
2 Tl 0.000 0.000 0.000
3 Tl 0.250 0.750 0.500
4 Zn 0.500 0.500 0.000

## Properties
E above lowest polymorph in meV per atom: 249
Raw total energy in eV/atom: -2.84
SG: No. 119
Formation energy from the elements in eV/f.u.: 0.69